A relaxed structure of TbEr2Mg3Ir3, computed with PBE-GGA.

It has space group Amm2 (No. 38), with a = 4.041 Å, b = 12.541 Å, c = 7.229 Å, α = 90.00°, β = 90.00° and γ = 90.00°. The inequivalent atoms are Tb at (0.000, 0.000, 0.000), Er at (0.000, 0.204, 0.386), Mg at (0.500, 0.000, 0.345), Mg at (0.500, 0.123, 0.712), Ir at (0.000, 0.000, 0.588) and Ir at (0.500, 0.168, 0.091).

The mass density comes out at 10.4 g/cm³. The total energy is -102.41 eV for the cell shown. The calculation puts the spin magnetization at 0.00 μB/f.u.



A relaxed structure of Pr2NdGa2Pd4, computed with PBE-GGA.

It has space group C2/m (No. 12), with a = 10.374 Å, b = 4.406 Å, c = 8.808 Å, α = 90.00°, β = 98.28° and γ = 90.00°. The inequivalent atoms are Pr at (0.123, 0.000, 0.383), Nd at (0.000, 0.500, 0.000), Ga at (0.180, 0.000, 0.784), Pd at (0.085, 0.500, 0.639) and Pd at (0.220, 0.000, 0.087).

The mass density comes out at 8.3 g/cm³. The total energy is -96.35 eV for the cell shown. The calculation puts the spin magnetization at 0.00 μB/f.u.



A relaxed structure of MgPd, computed with PBE-GGA.

It has space group F-43m (No. 216), with a = 5.826 Å, b = 5.826 Å, c = 5.826 Å, α = 90.00°, β = 90.00° and γ = 90.00°. The inequivalent atoms are Mg at (0.000, 0.000, 0.000) and Pd at (0.250, 0.250, 0.750).

The mass density comes out at 4.4 g/cm³. The total energy is -25.24 eV for the cell shown.



A relaxed structure of ScUSn, computed with PBE-GGA.

It has space group F-43m (No. 216), with a = 6.950 Å, b = 6.950 Å, c = 6.950 Å, α = 90.00°, β = 90.00° and γ = 90.00°. The inequivalent atoms are Sc at (0.000, 0.000, 0.000), U at (0.250, 0.250, 0.250) and Sn at (0.250, 0.250, 0.750).

The mass density comes out at 7.9 g/cm³. The calculation puts the energy above the lowest structure with this stoichiometry at 0.0 meV/atom. The total energy is -80.63 eV for the cell shown. The calculation puts the spin magnetization at 4.80 μB/f.u.



A relaxed structure of HfBiW, computed with PBE-GGA.

It has space group F-43m (No. 216), with a = 6.633 Å, b = 6.633 Å, c = 6.633 Å, α = 90.00°, β = 90.00° and γ = 90.00°. The inequivalent atoms are Hf at (0.000, 0.000, 0.000), Bi at (0.000, 0.000, 0.500) and W at (0.250, 0.250, 0.750).

The mass density comes out at 13.0 g/cm³. The total energy is -98.35 eV for the cell shown. The calculation puts the spin magnetization at 0.01 μB/f.u.



A relaxed structure of CoBPdW, computed with PBE-GGA.

It has space group F-43m (No. 216), with a = 5.816 Å, b = 5.816 Å, c = 5.816 Å, α = 90.00°, β = 90.00° and γ = 90.00°. The inequivalent atoms are Co at (0.000, 0.000, 0.000), B at (0.250, 0.250, 0.750), Pd at (0.250, 0.250, 0.250) and W at (0.000, 0.000, 0.500).

The mass density comes out at 12.2 g/cm³. The calculation puts the energy above the lowest structure with this stoichiometry at 0.0 meV/atom. The total energy is -119.13 eV for the cell shown. The calculation puts the spin magnetization at 0.40 μB/f.u.



A relaxed structure of Y2ZnGa, computed with PBE-GGA.

It has space group F-43m (No. 216), with a = 7.208 Å, b = 7.208 Å, c = 7.208 Å, α = 90.00°, β = 90.00° and γ = 90.00°. The inequivalent atoms are Y at (0.000, 0.000, 0.000), Y at (0.250, 0.250, 0.250), Zn at (0.250, 0.250, 0.750) and Ga at (0.000, 0.000, 0.500).

The mass density comes out at 5.5 g/cm³. The total energy is -67.31 eV for the cell shown. The calculation puts the spin magnetization at 0.24 μB/f.u.



A relaxed structure of Pr2GdZn3Pt2Au, computed with PBE-GGA.

It has space group Amm2 (No. 38), with a = 3.959 Å, b = 12.961 Å, c = 7.530 Å, α = 90.00°, β = 90.00° and γ = 90.00°. The inequivalent atoms are Pr at (0.000, 0.205, 0.000), Gd at (0.000, 0.000, 0.614), Zn at (0.500, 0.000, 0.947), Zn at (0.500, 0.126, 0.335), Pt at (0.500, 0.162, 0.702) and Au at (0.000, 0.000, 0.211).

The mass density comes out at 10.5 g/cm³. The total energy is -81.52 eV for the cell shown. The calculation puts the spin magnetization at 0.02 μB/f.u.



A relaxed structure of Cd2Hg2SeF6, computed with PBE-GGA.

It has space group Fd-3m (No. 227, origin choice 2), with a = 11.265 Å, b = 11.265 Å, c = 11.265 Å, α = 90.00°, β = 90.00° and γ = 90.00°. The inequivalent atoms are Cd at (0.000, 0.000, 0.000), Hg at (0.000, 0.000, 0.500), Se at (0.125, 0.125, 0.625) and F at (0.088, 0.375, 0.375).

The mass density comes out at 7.6 g/cm³. The total energy is -279.70 eV for the cell shown.



A relaxed structure of Cd2I3Br, computed with PBE-GGA.

It has space group Pmm2 (No. 25), with a = 4.374 Å, b = 4.475 Å, c = 12.747 Å, α = 90.00°, β = 90.00° and γ = 90.00°. The inequivalent atoms are Cd at (0.000, 0.000, 0.000), Cd at (0.500, 0.500, 0.492), I at (0.000, 0.500, 0.352), I at (0.000, 0.500, 0.865), I at (0.500, 0.000, 0.630) and Br at (0.500, 0.000, 0.121).

The mass density comes out at 4.6 g/cm³. The total energy is -12.04 eV for the cell shown.



A relaxed structure of NaLaCoSb, computed with PBE-GGA.

It has space group F-43m (No. 216), with a = 7.370 Å, b = 7.370 Å, c = 7.370 Å, α = 90.00°, β = 90.00° and γ = 90.00°. The inequivalent atoms are Na at (0.000, 0.000, 0.000), La at (0.000, 0.000, 0.500), Co at (0.250, 0.250, 0.250) and Sb at (0.250, 0.250, 0.750).

The mass density comes out at 5.7 g/cm³. The calculation puts the energy above the lowest structure with this stoichiometry at 157.8 meV/atom. The total energy is -71.04 eV for the cell shown. The calculation puts the spin magnetization at 1.66 μB/f.u.



A relaxed structure of BaMg2TlAu, computed with PBE-GGA.

It has space group I4mm (No. 107), with a = 4.660 Å, b = 4.660 Å, c = 12.981 Å, α = 90.00°, β = 90.00° and γ = 90.00°. The inequivalent atoms are Ba at (0.000, 0.000, 0.000), Mg at (0.000, 0.500, 0.236), Tl at (0.000, 0.000, 0.383) and Au at (0.000, 0.000, 0.619).

The mass density comes out at 6.9 g/cm³. The total energy is -25.51 eV for the cell shown.



A relaxed structure of HoTmSi2Pd, computed with PBE-GGA.

It has space group C2/m (No. 12), with a = 10.390 Å, b = 4.231 Å, c = 10.015 Å, α = 90.00°, β = 117.83° and γ = 90.00°. The inequivalent atoms are Ho at (0.186, 0.000, 0.106), Tm at (0.002, 0.000, 0.324), Si at (0.020, 0.500, 0.886), Si at (0.133, 0.500, 0.566) and Pd at (0.225, 0.500, 0.359).

The mass density comes out at 8.5 g/cm³. The calculation puts the energy above the lowest structure with this stoichiometry at 0.0 meV/atom. The total energy is -118.89 eV for the cell shown. The calculation puts the spin magnetization at 0.39 μB/f.u.



A relaxed structure of Sc4NiAsN2, computed with PBE-GGA.

It has space group P-6m2 (No. 187), with a = 3.2412 Å, b = 3.2412 Å, c = 12.9637 Å, α = 90.00°, β = 90.00° and γ = 120.00°. The inequivalent atoms are Sc at (0.0000, 0.0000, 0.1466), Sc at (0.3333, 0.6667, 0.3398), Ni at (0.3333, 0.6667, 0.0000), As at (0.0000, 0.0000, 0.5000) and N at (0.6667, 0.3333, 0.2517).

The mass density comes out at 4.8 g/cm³. The total energy is -61.77 eV for the cell shown. The calculation puts the spin magnetization at 0.00 μB/f.u.



A relaxed structure of HfNbSnB, computed with PBE-GGA.

It has space group P-3m1 (No. 164), with a = 3.3620 Å, b = 3.3620 Å, c = 14.3978 Å, α = 90.00°, β = 90.00° and γ = 120.00°. The inequivalent atoms are Hf at (0.3333, 0.6667, 0.0887), Nb at (0.3333, 0.6667, 0.4164), Sn at (0.3333, 0.6667, 0.7426), B at (0.0000, 0.0000, 0.0000) and B at (0.0000, 0.0000, 0.5000).

The mass density comes out at 9.4 g/cm³. The total energy is -65.53 eV for the cell shown. The calculation puts the spin magnetization at 0.01 μB/f.u.



A relaxed structure of BaY2Os, computed with PBE-GGA.

It has space group F-43m (No. 216), with a = 7.527 Å, b = 7.527 Å, c = 7.527 Å, α = 90.00°, β = 90.00° and γ = 90.00°. The inequivalent atoms are Ba at (0.000, 0.000, 0.000), Y at (0.000, 0.000, 0.500), Y at (0.250, 0.250, 0.750) and Os at (0.250, 0.250, 0.250).

The mass density comes out at 7.9 g/cm³. The total energy is -94.34 eV for the cell shown. The calculation puts the spin magnetization at 0.00 μB/f.u.



A relaxed structure of ThZn2, computed with PBE-GGA.

It has space group Pmmn (No. 59, origin choice 2), with a = 4.898 Å, b = 10.894 Å, c = 4.743 Å, α = 90.00°, β = 90.00° and γ = 90.00°. The inequivalent atoms are Th at (0.250, 0.089, 0.002), Zn at (0.250, 0.250, 0.502), Zn at (0.250, 0.605, 0.502) and Zn at (0.250, 0.750, 0.009).

The mass density comes out at 9.5 g/cm³. The total energy is -39.60 eV for the cell shown. The calculation puts the spin magnetization at 0.00 μB/f.u.



A relaxed structure of TbTc5I2, computed with PBE-GGA.

It has space group P4/mmm (No. 123), with a = 3.860 Å, b = 3.860 Å, c = 11.963 Å, α = 90.00°, β = 90.00° and γ = 90.00°. The inequivalent atoms are Tb at (0.000, 0.000, 0.000), Tc at (0.000, 0.500, 0.187), Tc at (0.500, 0.500, 0.000) and I at (0.500, 0.500, 0.357).

The mass density comes out at 8.4 g/cm³. The total energy is -55.19 eV for the cell shown. The calculation puts the spin magnetization at 0.04 μB/f.u.



A relaxed structure of Zr2NbMo, computed with PBE-GGA.

It has space group F-43m (No. 216), with a = 6.761 Å, b = 6.761 Å, c = 6.761 Å, α = 90.00°, β = 90.00° and γ = 90.00°. The inequivalent atoms are Zr at (0.000, 0.000, 0.000), Zr at (0.250, 0.250, 0.250), Nb at (0.000, 0.000, 0.500) and Mo at (0.250, 0.250, 0.750).

The mass density comes out at 8.0 g/cm³. The total energy is -150.73 eV for the cell shown. The calculation puts the spin magnetization at 0.02 μB/f.u.



A relaxed structure of Hf4Sc2Zn3N3, computed with PBE-GGA.

It has space group C2/c (No. 15), with a = 9.642 Å, b = 5.566 Å, c = 14.470 Å, α = 90.00°, β = 103.01° and γ = 90.00°. The inequivalent atoms are Hf at (0.111, 0.089, 0.084), Hf at (0.224, 0.082, 0.416), Sc at (0.048, 0.419, 0.901), Zn at (0.000, 0.033, 0.250), Zn at (0.222, 0.363, 0.250), N at (0.083, 0.252, 0.500) and N at (0.250, 0.250, 0.000).

The mass density comes out at 9.1 g/cm³. The total energy is -374.11 eV for the cell shown. The calculation puts the spin magnetization at 0.00 μB/f.u.



A relaxed structure of PrFe3, computed with PBE-GGA.

It has space group Pm-3m (No. 221), with a = 4.021 Å, b = 4.021 Å, c = 4.021 Å, α = 90.00°, β = 90.00° and γ = 90.00°. The inequivalent atoms are Pr at (0.000, 0.000, 0.000) and Fe at (0.000, 0.500, 0.500).

The mass density comes out at 7.9 g/cm³. The total energy is -27.49 eV for the cell shown. The calculation puts the spin magnetization at 6.58 μB/f.u.



A relaxed structure of Hf4SnSbC2, computed with PBE-GGA.

It has space group P-6m2 (No. 187), with a = 3.3746 Å, b = 3.3746 Å, c = 14.1824 Å, α = 90.00°, β = 90.00° and γ = 120.00°. The inequivalent atoms are Hf at (0.0000, 0.0000, 0.1605), Hf at (0.6667, 0.3333, 0.3312), Sn at (0.0000, 0.0000, 0.5000), Sb at (0.6667, 0.3333, 0.0000) and C at (0.3333, 0.6667, 0.2464).

The mass density comes out at 11.6 g/cm³. The total energy is -72.44 eV for the cell shown. The calculation puts the spin magnetization at 0.00 μB/f.u.



A relaxed structure of ZrPPbO, computed with PBE-GGA.

It has space group P4/nmm (No. 129, origin choice 2), with a = 4.482 Å, b = 4.482 Å, c = 8.374 Å, α = 90.00°, β = 90.00° and γ = 90.00°. The inequivalent atoms are Zr at (0.250, 0.750, 0.000), P at (0.250, 0.250, 0.150), Pb at (0.250, 0.250, 0.615) and O at (0.250, 0.750, 0.500).

The mass density comes out at 6.8 g/cm³. The calculation puts the energy above the lowest structure with this stoichiometry at 423.8 meV/atom. The total energy is -51.53 eV for the cell shown. The calculation puts the spin magnetization at 0.00 μB/f.u.



A relaxed structure of ThMg, computed with PBE-GGA.

It has space group Pmc2_1 (No. 26), with a = 5.576 Å, b = 10.247 Å, c = 5.975 Å, α = 90.00°, β = 90.00° and γ = 90.00°. The inequivalent atoms are Th at (0.000, 0.083, 0.000), Th at (0.000, 0.410, 0.026), Th at (0.500, 0.411, 0.724), Mg at (0.000, 0.246, 0.514), Mg at (0.500, 0.082, 0.671) and Mg at (0.500, 0.238, 0.215).

The mass density comes out at 7.5 g/cm³. The total energy is -52.13 eV for the cell shown. The calculation puts the spin magnetization at 0.00 μB/f.u.



A relaxed structure of TaPb2SO6, computed with PBE-GGA.

It has space group I4/mmm (No. 139), with a = 5.479 Å, b = 5.479 Å, c = 8.794 Å, α = 90.00°, β = 90.00° and γ = 90.00°. The inequivalent atoms are Ta at (0.000, 0.000, 0.000), Pb at (0.000, 0.500, 0.250), S at (0.000, 0.000, 0.500), O at (0.000, 0.000, 0.224) and O at (0.244, 0.244, 0.500).

The mass density comes out at 9.1 g/cm³. The calculation puts the energy above the lowest structure with this stoichiometry at 0.0 meV/atom. The total energy is -132.02 eV for the cell shown. The calculation puts the spin magnetization at 0.33 μB/f.u.